[1]
This record from the Alexandria database describes a PBEsol-optimized structure of CsMn2GeH. The functional is meta-GGA SCAN.

Unit cell a=4.806 b=4.806 c=3.802 alpha=90.00 beta=90.00 gamma=90.00
Atoms (fractional coordinates):
Cs: 0.000 0.000 0.000
Mn: 0.000 0.500 0.500
Mn: 0.500 0.000 0.500
Ge: 0.500 0.500 0.000
H: 0.500 0.500 0.500

## Properties
The total energy comes out at -92.23 eV/f.u. The mass density is 6.0 g/cm³.

***

[2]
This record from the Alexandria database describes a PBEsol-optimized structure of CsHf2GeRu. The functional is meta-GGA SCAN.

Unit cell a=4.953 b=4.953 c=5.875 alpha=90.00 beta=90.00 gamma=90.00
Atoms (fractional coordinates):
Cs: 0.000 0.000 0.000
Hf: 0.000 0.500 0.500
Hf: 0.500 0.000 0.500
Ge: 0.000 0.000 0.500
Ru: 0.500 0.500 0.000

## Properties
The total energy comes out at -209.24 eV/f.u. The mass density is 7.6 g/cm³. As for the formation energy: 1.57 eV/atom.

***

[3]
This record from the Alexandria database describes a PBEsol-optimized structure of CsHf2GeSe. The functional is meta-GGA SCAN.

Unit cell a=4.996 b=4.996 c=6.070 alpha=90.00 beta=90.00 gamma=90.00
Atoms (fractional coordinates):
Cs: 0.000 0.000 0.000
Hf: 0.000 0.500 0.500
Hf: 0.500 0.000 0.500
Ge: 0.500 0.500 0.000
Se: 0.000 0.000 0.500

## Properties
The uncorrected formation energy comes out at 0.739 eV/atom. The total energy comes out at -198.63 eV/f.u. The mass density is 7.0 g/cm³.

***

[4]
This record from the Alexandria database describes a PBEsol-optimized structure of Cs2InGe. The functional is meta-GGA SCAN.

Unit cell a=8.574 b=8.574 c=8.574 alpha=90.00 beta=90.00 gamma=90.00
Atoms (fractional coordinates):
Cs: 0.250 0.250 0.250
Cs: 0.250 0.250 0.750
Cs: 0.250 0.750 0.250
Cs: 0.250 0.750 0.750
Cs: 0.750 0.250 0.250
Cs: 0.750 0.250 0.750
Cs: 0.750 0.750 0.250
Cs: 0.750 0.750 0.750
In: 0.000 0.000 0.000
In: 0.000 0.500 0.500
In: 0.500 0.000 0.500
In: 0.500 0.500 0.000
Ge: 0.000 0.000 0.500
Ge: 0.000 0.500 0.000
Ge: 0.500 0.000 0.000
Ge: 0.500 0.500 0.500

## Properties
The total energy comes out at -126.85 eV/f.u. The mass density is 4.8 g/cm³. As for the formation energy: 0.31 eV/atom.

***

[5]
This record from the Alexandria database describes a PBEsol-optimized structure of Cs2GeIr. The functional is meta-GGA SCAN.

Unit cell a=7.827 b=7.827 c=7.827 alpha=90.00 beta=90.00 gamma=90.00
Atoms (fractional coordinates):
Cs: 0.250 0.250 0.250
Cs: 0.250 0.250 0.750
Cs: 0.250 0.750 0.250
Cs: 0.250 0.750 0.750
Cs: 0.750 0.250 0.250
Cs: 0.750 0.250 0.750
Cs: 0.750 0.750 0.250
Cs: 0.750 0.750 0.750
Ge: 0.000 0.000 0.000
Ge: 0.000 0.500 0.500
Ge: 0.500 0.000 0.500
Ge: 0.500 0.500 0.000
Ir: 0.000 0.000 0.500
Ir: 0.000 0.500 0.000
Ir: 0.500 0.000 0.000
Ir: 0.500 0.500 0.500

## Properties
The total energy comes out at -160.43 eV/f.u. The mass density is 7.3 g/cm³. As for the formation energy: 1.34 eV/atom.

***

[6]
This record from the Alexandria database describes a PBEsol-optimized structure of CsNa3Li12Ge4O16. The functional is meta-GGA SCAN.

Unit cell a=8.515 b=8.515 c=8.515 alpha=98.30 beta=98.30 gamma=135.34
Atoms (fractional coordinates):
Cs: 0.000 0.000 0.000
Na: 0.250 0.750 0.500
Na: 0.500 0.500 0.000
Na: 0.750 0.250 0.500
Li: 0.021 0.356 0.868
Li: 0.079 0.717 0.796
Li: 0.154 0.021 0.666
Li: 0.283 0.079 0.362
Li: 0.356 0.488 0.334
Li: 0.488 0.154 0.132
Li: 0.512 0.846 0.868
Li: 0.644 0.512 0.666
Li: 0.717 0.921 0.638
Li: 0.846 0.979 0.334
Li: 0.921 0.283 0.204
Li: 0.979 0.644 0.132
Ge: 0.219 0.419 0.638
Ge: 0.419 0.781 0.200
Ge: 0.581 0.219 0.800
Ge: 0.781 0.581 0.362
O: 0.081 0.185 0.719
O: 0.096 0.320 0.416
O: 0.162 0.569 0.731
O: 0.185 0.466 0.104
O: 0.320 0.904 0.224
O: 0.362 0.081 0.896
O: 0.431 0.162 0.593
O: 0.466 0.362 0.281
O: 0.534 0.638 0.719
O: 0.569 0.838 0.407
O: 0.638 0.919 0.104
O: 0.680 0.096 0.776
O: 0.815 0.534 0.896
O: 0.838 0.431 0.269
O: 0.904 0.680 0.584
O: 0.919 0.815 0.281

## Properties
The uncorrected formation energy comes out at -2.095 eV/atom. The total energy comes out at -330.59 eV/f.u. The mass density is 3.4 g/cm³.

***

[7]
This record from the Alexandria database describes a PBEsol-optimized structure of Cs2Li2GeO4. The functional is meta-GGA SCAN.

Unit cell a=5.659 b=5.794 c=9.306 alpha=84.39 beta=76.08 gamma=86.84
Atoms (fractional coordinates):
Cs: 0.017 0.148 0.286
Cs: 0.287 0.729 0.016
Cs: 0.713 0.271 0.984
Cs: 0.983 0.852 0.714
Li: 0.194 0.588 0.420
Li: 0.431 0.184 0.439
Li: 0.569 0.816 0.561
Li: 0.806 0.412 0.580
Ge: 0.361 0.318 0.709
Ge: 0.639 0.682 0.291
O: 0.143 0.359 0.596
O: 0.232 0.200 0.889
O: 0.403 0.863 0.397
O: 0.480 0.428 0.286
O: 0.520 0.572 0.714
O: 0.597 0.137 0.603
O: 0.768 0.800 0.111
O: 0.857 0.641 0.404

## Properties
The uncorrected formation energy comes out at -1.992 eV/atom. The total energy comes out at -142.34 eV/f.u. The mass density is 4.7 g/cm³.

***

[8]
This record from the Alexandria database describes a PBEsol-optimized structure of CsGe3Mo. The functional is meta-GGA SCAN.

Unit cell a=5.428 b=5.428 c=5.428 alpha=90.00 beta=90.00 gamma=90.00
Atoms (fractional coordinates):
Cs: 0.000 0.000 0.000
Ge: 0.000 0.000 0.500
Ge: 0.000 0.500 0.000
Ge: 0.500 0.000 0.000
Mo: 0.500 0.500 0.500

## Properties
The total energy comes out at -117.26 eV/f.u. The mass density is 4.6 g/cm³. As for the formation energy: 2.54 eV/atom.

***

[9]
This record from the Alexandria database describes a PBEsol-optimized structure of CsGe2MoPd. The functional is meta-GGA SCAN.

Unit cell a=5.386 b=5.386 c=5.023 alpha=90.00 beta=90.00 gamma=90.00
Atoms (fractional coordinates):
Cs: 0.000 0.000 0.000
Ge: 0.000 0.500 0.000
Ge: 0.500 0.000 0.000
Mo: 0.000 0.000 0.500
Pd: 0.500 0.500 0.500

## Properties
The total energy comes out at -129.86 eV/f.u. The mass density is 5.5 g/cm³. As for the formation energy: 2.76 eV/atom.

***

[10]
This record from the Alexandria database describes a PBEsol-optimized structure of CsGeN2O. The functional is meta-GGA SCAN.

Unit cell a=4.171 b=4.171 c=3.924 alpha=90.00 beta=90.00 gamma=90.00
Atoms (fractional coordinates):
Cs: 0.000 0.000 0.000
Ge: 0.500 0.500 0.500
N: 0.000 0.500 0.500
N: 0.500 0.000 0.500
O: 0.500 0.500 0.000

## Properties
The uncorrected formation energy comes out at 0.470 eV/atom. The total energy comes out at -79.36 eV/f.u. The mass density is 6.1 g/cm³.

***

[11]
This record from the Alexandria database describes a PBEsol-optimized structure of CsGe2PdN. The functional is meta-GGA SCAN.

Unit cell a=4.211 b=4.211 c=5.787 alpha=90.00 beta=90.00 gamma=90.00
Atoms (fractional coordinates):
Cs: 0.000 0.000 0.000
Ge: 0.000 0.500 0.500
Ge: 0.500 0.000 0.500
Pd: 0.500 0.500 0.000
N: 0.000 0.000 0.500

## Properties
The uncorrected formation energy comes out at 0.901 eV/atom. The total energy comes out at -113.55 eV/f.u. The mass density is 6.5 g/cm³.

***

[12]
This record from the Alexandria database describes a PBEsol-optimized structure of CsGeSeN2. The functional is meta-GGA SCAN.

Unit cell a=4.197 b=4.197 c=6.076 alpha=90.00 beta=90.00 gamma=90.00
Atoms (fractional coordinates):
Cs: 0.000 0.000 0.000
Ge: 0.500 0.500 0.000
Se: 0.000 0.000 0.500
N: 0.000 0.500 0.500
N: 0.500 0.000 0.500

## Properties
Its energy above the lowest structure with this stoichiometry is 0.0 meV per atom. The uncorrected formation energy comes out at 1.963 eV/atom. The total energy comes out at -85.74 eV/f.u. The mass density is 4.8 g/cm³.

***

[13]
This record from the Alexandria database describes a PBEsol-optimized structure of CsGeSeN2. The functional is meta-GGA SCAN.

Unit cell a=4.262 b=4.262 c=6.714 alpha=90.00 beta=90.00 gamma=90.00
Atoms (fractional coordinates):
Cs: 0.000 0.000 0.000
Ge: 0.500 0.500 0.500
Se: 0.000 0.000 0.500
N: 0.000 0.500 0.000
N: 0.500 0.000 0.000

## Properties
Its energy above the lowest structure with this stoichiometry is 323.2 meV per atom. The uncorrected formation energy comes out at 2.286 eV/atom. The total energy comes out at -84.13 eV/f.u. The mass density is 4.3 g/cm³.

***

[14]
This record from the Alexandria database describes a PBEsol-optimized structure of CsNaNbGe2. The functional is meta-GGA SCAN.

Unit cell a=5.179 b=5.179 c=5.366 alpha=90.00 beta=90.00 gamma=90.00
Atoms (fractional coordinates):
Cs: 0.000 0.000 0.000
Na: 0.500 0.500 0.500
Nb: 0.500 0.500 0.000
Ge: 0.000 0.500 0.500
Ge: 0.500 0.000 0.500

## Properties
The total energy comes out at -107.01 eV/f.u. The mass density is 4.5 g/cm³. As for the formation energy: 1.27 eV/atom.

***

[15]
This record from the Alexandria database describes a PBEsol-optimized structure of CsNb3Ge. The functional is meta-GGA SCAN.

Unit cell a=4.977 b=4.977 c=4.977 alpha=90.00 beta=90.00 gamma=90.00
Atoms (fractional coordinates):
Cs: 0.000 0.000 0.000
Nb: 0.000 0.000 0.500
Nb: 0.000 0.500 0.000
Nb: 0.500 0.000 0.000
Ge: 0.500 0.500 0.500

## Properties
The total energy comes out at -142.20 eV/f.u. The mass density is 6.5 g/cm³. As for the formation energy: 2.82 eV/atom.

***

[16]
This record from the Alexandria database describes a PBEsol-optimized structure of CsNiGe3. The functional is meta-GGA SCAN.

Unit cell a=4.808 b=4.808 c=4.808 alpha=90.00 beta=90.00 gamma=90.00
Atoms (fractional coordinates):
Cs: 0.000 0.000 0.000
Ni: 0.500 0.500 0.500
Ge: 0.000 0.500 0.500
Ge: 0.500 0.000 0.500
Ge: 0.500 0.500 0.000

## Properties
The total energy comes out at -109.29 eV/f.u. The mass density is 6.1 g/cm³. As for the formation energy: 0.39 eV/atom.

***

[17]
This record from the Alexandria database describes a PBEsol-optimized structure of CsGeO2. The functional is meta-GGA SCAN.

Unit cell a=4.112 b=4.112 c=21.122 alpha=90.00 beta=90.00 gamma=120.00
Atoms (fractional coordinates):
Cs: 0.000 0.000 0.000
Cs: 0.333 0.667 0.667
Cs: 0.667 0.333 0.333
Ge: 0.000 0.000 0.500
Ge: 0.333 0.667 0.167
Ge: 0.667 0.333 0.833
O: 0.000 0.000 0.420
O: 0.000 0.000 0.580
O: 0.333 0.667 0.087
O: 0.333 0.667 0.247
O: 0.667 0.333 0.753
O: 0.667 0.333 0.913

## Properties
The uncorrected formation energy comes out at -1.027 eV/atom. The total energy comes out at -73.47 eV/f.u. The mass density is 3.8 g/cm³.

***

[18]
This record from the Alexandria database describes a PBEsol-optimized structure of Cs2GeP4O13. The functional is meta-GGA SCAN.

Unit cell a=5.010 b=7.916 c=15.839 alpha=84.89 beta=84.31 gamma=80.73
Atoms (fractional coordinates):
Cs: 0.176 0.245 0.489
Cs: 0.226 0.198 0.972
Cs: 0.774 0.802 0.028
Cs: 0.824 0.755 0.511
Ge: 0.048 0.435 0.241
Ge: 0.952 0.565 0.759
P: 0.165 0.909 0.694
P: 0.182 0.813 0.212
P: 0.388 0.722 0.848
P: 0.481 0.586 0.336
P: 0.519 0.414 0.664
P: 0.612 0.278 0.152
P: 0.818 0.187 0.788
P: 0.835 0.091 0.306
O: 0.014 0.099 0.712
O: 0.050 0.661 0.192
O: 0.052 0.209 0.290
O: 0.210 0.481 0.670
O: 0.226 0.580 0.829
O: 0.237 0.933 0.138
O: 0.296 0.804 0.929
O: 0.306 0.354 0.154
O: 0.307 0.920 0.608
O: 0.325 0.446 0.312
O: 0.365 0.865 0.768
O: 0.382 0.655 0.419
O: 0.448 0.738 0.259
O: 0.552 0.262 0.741
O: 0.618 0.345 0.581
O: 0.635 0.135 0.232
O: 0.675 0.554 0.688
O: 0.693 0.080 0.392
O: 0.694 0.646 0.846
O: 0.704 0.196 0.071
O: 0.763 0.067 0.862
O: 0.774 0.420 0.171
O: 0.790 0.519 0.330
O: 0.948 0.791 0.710
O: 0.950 0.339 0.808
O: 0.986 0.901 0.288

## Properties
The uncorrected formation energy comes out at -2.385 eV/atom. The total energy comes out at -265.02 eV/f.u. The mass density is 3.6 g/cm³.

***

[19]
This record from the Alexandria database describes a PBEsol-optimized structure of CsGeSO2. The functional is meta-GGA SCAN.

Unit cell a=4.125 b=4.125 c=9.751 alpha=90.00 beta=90.00 gamma=90.00
Atoms (fractional coordinates):
Cs: 0.000 0.000 0.000
Ge: 0.000 0.000 0.500
S: 0.500 0.500 0.500
O: 0.000 0.500 0.000
O: 0.500 0.000 0.000

## Properties
The uncorrected formation energy comes out at 0.767 eV/atom. The total energy comes out at -75.15 eV/f.u. The mass density is 2.7 g/cm³.

***

[20]
This record from the Alexandria database describes a PBEsol-optimized structure of Cs2TiGe3O9. The functional is meta-GGA SCAN.

Unit cell a=7.188 b=7.188 c=10.424 alpha=90.00 beta=90.00 gamma=120.00
Atoms (fractional coordinates):
Cs: 0.333 0.667 0.056
Cs: 0.333 0.667 0.444
Cs: 0.667 0.333 0.556
Cs: 0.667 0.333 0.944
Ti: 0.000 0.000 0.000
Ti: 0.000 0.000 0.500
Ge: 0.137 0.769 0.750
Ge: 0.231 0.368 0.750
Ge: 0.368 0.137 0.250
Ge: 0.632 0.863 0.750
Ge: 0.769 0.632 0.250
Ge: 0.863 0.231 0.250
O: 0.029 0.792 0.607
O: 0.029 0.792 0.893
O: 0.069 0.491 0.750
O: 0.208 0.237 0.607
O: 0.208 0.237 0.893
O: 0.237 0.029 0.107
O: 0.237 0.029 0.393
O: 0.422 0.931 0.750
O: 0.491 0.422 0.250
O: 0.509 0.578 0.750
O: 0.578 0.069 0.250
O: 0.763 0.971 0.607
O: 0.763 0.971 0.893
O: 0.792 0.763 0.107
O: 0.792 0.763 0.393
O: 0.931 0.509 0.250
O: 0.971 0.208 0.107
O: 0.971 0.208 0.393

## Properties
The uncorrected formation energy comes out at -2.217 eV/atom. The total energy comes out at -238.25 eV/f.u. The mass density is 4.8 g/cm³.

***

[21]
This record from the Alexandria database describes a PBEsol-optimized structure of CsGe3Os. The functional is meta-GGA SCAN.

Unit cell a=5.358 b=5.358 c=5.358 alpha=90.00 beta=90.00 gamma=90.00
Atoms (fractional coordinates):
Cs: 0.000 0.000 0.000
Ge: 0.000 0.000 0.500
Ge: 0.000 0.500 0.000
Ge: 0.500 0.000 0.000
Os: 0.500 0.500 0.500

## Properties
The total energy comes out at -151.49 eV/f.u. The mass density is 5.8 g/cm³. As for the formation energy: 3.09 eV/atom.

***

[22]
This record from the Alexandria database describes a PBEsol-optimized structure of CsGeP3. The functional is meta-GGA SCAN.

Unit cell a=5.214 b=5.214 c=5.214 alpha=90.00 beta=90.00 gamma=90.00
Atoms (fractional coordinates):
Cs: 0.000 0.000 0.000
Ge: 0.500 0.500 0.500
P: 0.000 0.000 0.500
P: 0.000 0.500 0.000
P: 0.500 0.000 0.000

## Properties
The total energy comes out at -76.43 eV/f.u. The mass density is 3.5 g/cm³. As for the formation energy: 2.33 eV/atom.

***

[23]
This record from the Alexandria database describes a PBEsol-optimized structure of CsGePS2. The functional is meta-GGA SCAN.

Unit cell a=5.290 b=5.290 c=5.268 alpha=90.00 beta=90.00 gamma=90.00
Atoms (fractional coordinates):
Cs: 0.000 0.000 0.000
Ge: 0.500 0.500 0.500
P: 0.000 0.000 0.500
S: 0.000 0.500 0.000
S: 0.500 0.000 0.000

## Properties
Its energy above the lowest structure with this stoichiometry is 1680.2 meV per atom. The uncorrected formation energy comes out at 1.746 eV/atom. The total energy comes out at -77.82 eV/f.u. The mass density is 3.4 g/cm³.